1.
Li5Ga2Pd3 GGA-PBE optimized geometry; formation energy from the elements = -0.3000 eV/atom
1.0
-4.1164 -1.3590 -2.8395
2.5168 -5.0816 -5.9453
-4.7580 -4.9337 4.5303
Li Pd Ga
10 6 4
Cartesian
-3.7530 -8.1268 -2.4915
-2.1497 -5.3474 -1.4174
-1.4570 -7.8802 -3.5737
-1.6948 -7.4473 -1.0718
-6.0197 -8.5088 -1.3871
-4.2079 -6.0269 -2.8371
-4.6628 -3.9270 -3.1827
-0.3379 -2.8655 -2.8674
-4.9006 -3.4941 -0.6807
-2.6046 -3.2475 -1.7629
-3.8676 -7.1378 -5.1631
-3.0873 -1.0193 -2.1296
-1.0291 -0.3398 -0.7099
-2.1329 -4.9651 -3.9891
-4.2248 -6.4092 -0.2653
-2.4900 -4.2365 0.9087
-7.5032 -7.1338 0.1055
1.1456 -4.2405 -4.3600
-0.5588 -6.5537 -5.5109
-5.7989 -4.8207 1.2564


2.
AsIrBr2 GGA-PBE optimized geometry; ΔE_f (raw) = 65 kJ per mole of atoms; energy relative to the lowest polymorph listed for this composition = 984 meV per atom
1.0
-6.1976 -0.6946 5.9367
-6.0991 -4.0341 4.5458
-3.7418 -3.0754 7.1189
As Ir Br
1 1 2
Cartesian
-12.0289 -5.8531 13.2010
-4.0096 -1.9510 4.4003
-15.6296 -7.6052 17.1526
-8.4282 -4.1011 9.2495


3.
Ho2AlTe4 GGA-PBE optimized geometry; ΔE_f (raw) = -96 kJ per mole of atoms
1.0
4.2593 0.0000 0.0000
0.0000 7.5142 -0.0764
-2.1297 -3.7369 6.8095
Te Al Ho
4 1 2
Cartesian
0.0000 2.5261 5.1224
0.0000 5.0343 1.4499
2.1297 1.2512 1.6107
2.1297 -1.2570 5.2833
0.0000 0.0000 0.0000
2.1297 3.8888 3.2791
0.0000 -0.1115 3.4540


4.
CsLi4Ca3Br12 GGA-PBE optimized geometry; ΔE_f (raw) = -157 kJ per mole of atoms
1.0
-2.2071 -9.3786 -0.4932
3.7678 1.7964 8.6976
-8.1357 5.1032 -0.9159
Br Ca Li Cs
12 3 4 1
Cartesian
-3.9549 4.5751 4.9580
-6.8591 3.3006 2.0282
-2.3428 0.5274 5.0974
-4.0330 -6.6615 1.1895
0.9933 -4.4531 6.3511
0.9428 -0.3902 7.8111
-5.1695 -0.7166 2.1243
-8.1094 0.1001 -0.2500
-0.8860 -7.1057 3.8155
-6.8142 -3.8076 -0.4724
-0.8672 3.2873 7.3672
-2.3502 -3.5291 3.7111
-5.5301 -1.2614 -0.7301
0.4188 -4.4672 3.5461
-1.4637 3.2497 4.4725
1.8774 -2.6743 7.8156
-5.8599 5.0442 3.4608
-5.8800 -6.0883 -0.3436
-3.2875 -1.2395 3.6443
0.0000 0.0000 0.0000


5.
Zn2HgBi2 GGA-PBE optimized geometry; formation energy from the elements = 0.1474 eV/atom; energy relative to the lowest polymorph listed for this composition = 80 meV per atom
1.0
7.3186 0.0000 0.0000
0.0000 7.3186 0.0000
0.0000 0.0000 4.5254
Bi Zn Hg
4 4 2
Cartesian
5.0546 5.9232 2.2627
5.9232 2.2639 2.2627
2.2639 1.3953 2.2627
1.3953 5.0546 2.2627
4.5541 0.8948 0.0000
6.4237 4.5541 0.0000
0.8948 2.7645 0.0000
2.7645 6.4237 0.0000
3.6593 3.6593 0.0000
0.0000 0.0000 0.0000


6.
Tb3Nd2Tm3 GGA-PBE optimized geometry; formation energy from the elements = 0.1371 eV/atom; energy relative to the lowest polymorph listed for this composition = 113 meV per atom
1.0
6.4427 -0.3352 0.3283
-0.3279 6.4431 0.3283
0.3355 0.3352 6.4424
Tm Tb Nd
3 3 2
Cartesian
3.2228 1.1231 1.4533
5.3237 3.2216 5.6456
1.1290 5.3201 3.5495
4.8158 0.0000 4.8104
1.6323 4.4806 0.3283
0.0022 1.9625 1.9603
4.3940 4.3891 2.3793
2.0564 2.0540 4.7196


7.
GaBiSb2 GGA-PBE optimized geometry; ΔE_f (raw) = 19 kJ per mole of atoms; energy relative to the lowest polymorph listed for this composition = 96 meV per atom
1.0
-1.1116 -4.6075 2.4426
-4.6347 -2.4641 -0.9374
-0.0875 -4.5432 -2.7898
Sb Bi Ga
2 1 1
Cartesian
-1.4585 -2.9037 -0.3211
-4.3754 -8.7112 -0.9634
-2.9169 -5.8074 -0.6423
0.0000 0.0000 0.0000


8.
La2Zn3GaCu4 GGA-PBE optimized geometry; formation energy from the elements = -0.2786 eV/atom
1.0
4.4232 0.0000 0.0000
0.0000 4.4232 0.0000
0.0000 0.0000 9.5391
Cu Zn La Ga
4 3 2 1
Cartesian
0.0000 2.2116 3.5771
2.2116 2.2116 0.0000
2.2116 0.0000 5.9620
0.0000 0.0000 0.0000
0.0000 0.0000 4.7696
0.0000 2.2116 1.1320
2.2116 0.0000 8.4071
0.0000 2.2116 7.2081
2.2116 0.0000 2.3311
2.2116 2.2116 4.7696


Copy entry 4 word for word.
CsLi4Ca3Br12 GGA-PBE optimized geometry; ΔE_f (raw) = -157 kJ per mole of atoms
1.0
-2.2071 -9.3786 -0.4932
3.7678 1.7964 8.6976
-8.1357 5.1032 -0.9159
Br Ca Li Cs
12 3 4 1
Cartesian
-3.9549 4.5751 4.9580
-6.8591 3.3006 2.0282
-2.3428 0.5274 5.0974
-4.0330 -6.6615 1.1895
0.9933 -4.4531 6.3511
0.9428 -0.3902 7.8111
-5.1695 -0.7166 2.1243
-8.1094 0.1001 -0.2500
-0.8860 -7.1057 3.8155
-6.8142 -3.8076 -0.4724
-0.8672 3.2873 7.3672
-2.3502 -3.5291 3.7111
-5.5301 -1.2614 -0.7301
0.4188 -4.4672 3.5461
-1.4637 3.2497 4.4725
1.8774 -2.6743 7.8156
-5.8599 5.0442 3.4608
-5.8800 -6.0883 -0.3436
-3.2875 -1.2395 3.6443
0.0000 0.0000 0.0000


- Number 1 is which compound?
  Li5Ga2Pd3